No. 1
# YOs2, relaxed, DFT PBE-GGA
data_YOs2
_space_group_name_H-M_alt 'P 63/m m c'
_space_group_IT_number 194
_space_group_name_Hall '-P 6c 2c'
_cell_length_a 5.3178
_cell_length_b 5.3178
_cell_length_c 8.8838
_cell_angle_alpha 90.00
_cell_angle_beta 90.00
_cell_angle_gamma 120.00
loop_
_atom_site_label
_atom_site_type_symbol
_atom_site_fract_x
_atom_site_fract_y
_atom_site_fract_z
Y1 Y 0.3333 0.6667 0.0649
Os1 Os 0.0000 0.0000 0.0000
Os2 Os 0.1714 0.3429 0.7500
# - DFT formation energy: -0.30 eV/atom
# - Final energy: -9.9379 eV/atom
# - Total moment: 0.00 μB/f.u.
# - Crystal system: hexagonal

---

No. 2
# YOs2, relaxed, DFT PBE-GGA
data_YOs2
_space_group_name_H-M_alt 'C m c m'
_space_group_IT_number 63
_space_group_name_Hall '-C 2c 2'
_cell_length_a 3.043
_cell_length_b 15.127
_cell_length_c 4.707
_cell_angle_alpha 90.00
_cell_angle_beta 90.00
_cell_angle_gamma 90.00
loop_
_atom_site_label
_atom_site_type_symbol
_atom_site_fract_x
_atom_site_fract_y
_atom_site_fract_z
Y1 Y 0.000 0.089 0.250
Os1 Os 0.000 0.229 0.750
Os2 Os 0.000 0.412 0.250
# - DFT formation energy: 0.28 eV/atom
# - Final energy: -9.3635 eV/atom
# - Total moment: 0.00 μB/f.u.
# - Crystal system: orthorhombic

---

No. 3
# YOs2, relaxed, DFT PBE-GGA
data_YOs2
_space_group_name_H-M_alt 'C 1 2/m 1'
_space_group_IT_number 12
_cell_length_a 10.969
_cell_length_b 2.944
_cell_length_c 6.978
_cell_angle_alpha 90.00
_cell_angle_beta 104.66
_cell_angle_gamma 90.00
loop_
_space_group_symop_operation_xyz
'x,y,z'
'-x,-y,-z'
'-x,y,-z'
'x,-y,z'
'x+1/2,y+1/2,z'
'-x+1/2,-y+1/2,-z'
'-x+1/2,y+1/2,-z'
'x+1/2,-y+1/2,z'
loop_
_atom_site_label
_atom_site_type_symbol
_atom_site_fract_x
_atom_site_fract_y
_atom_site_fract_z
Y1 Y 0.007 0.000 0.275
Os1 Os 0.165 0.500 0.044
Os2 Os 0.222 0.500 0.640
# - DFT formation energy: 0.13 eV/atom
# - Final energy: -9.5107 eV/atom
# - Total moment: 0.00 μB/f.u.
# - Crystal system: monoclinic